The following is a DFT calculation (GGA-PBEsol) of a relaxed Y3CoIr crystal.

```
5
Lattice="-0.2933 -4.0297 -2.7567 -1.0650 -2.6423 3.9758 -4.7648 0.8387 -0.7189" Properties=species:S:1:pos:R:3 pbc="T T T"
Co 0.0000 0.0000 0.0000
Y -0.1467 -2.0148 -1.3783
Y -0.5325 -1.3212 1.9879
Ir -3.0616 -2.9167 0.2501
Y -2.3824 0.4193 -0.3595
```

Computed properties:
uncorrected energy: -7.468 eV/atom
formation energy from the elements: 0.138 eV per atom
space group: Pm-3m